[1]
First-principles (PBE) data for crystalline NdSmNi2Ge2 at its relaxed geometry, as listed in OQMD.

Output
size of the total moment: 0.04 μB/cell
calculated volume: 19.86 A^3/atom
calculated total energy: -5.681 eV per atom

a = 4.2314 Å, b = 4.2314 Å, c = 6.6536 Å
α = 90.00°, β = 90.00°, γ = 90.00°
Space group P4mm (No. 99)
Unique sites:
Nd1 0.0000 0.0000 0.0000 x1
Sm1 0.5000 0.5000 0.6181 x1
Ni1 0.0000 0.5000 0.3136 x2
Ge1 0.0000 0.0000 0.5074 x1
Ge2 0.5000 0.5000 0.1203 x1

=====

[2]
First-principles (PBE) data for crystalline CsCuPdSe2S at its relaxed geometry, as listed in OQMD.

Output
calculated volume: 25.56 A^3/atom
calculated total energy: -3.919 eV per atom

a = 3.9014 Å, b = 15.1117 Å, c = 10.4038 Å
α = 90.00°, β = 90.00°, γ = 90.00°
Space group Cmcm (No. 63)
Unique sites:
Cs1 0.0000 0.2409 0.2500 x4
Cu1 0.0000 0.0375 0.7500 x4
Pd1 0.0000 0.5000 0.0000 x4
Se1 0.0000 0.1057 0.5393 x8
S1 0.0000 0.4613 0.7500 x4

=====

[3]
First-principles (PBE) data for crystalline LiCuMoPd at its relaxed geometry, as listed in OQMD.

Output
size of the total moment: 0.01 μB/cell
calculated volume: 13.97 A^3/atom
calculated total energy: -5.257 eV per atom
energy relative to the lowest polymorph listed for this composition: 0.0 meV/atom

a = 6.0692 Å, b = 6.0692 Å, c = 6.0692 Å
α = 90.00°, β = 90.00°, γ = 90.00°
Space group F-43m (No. 216)
Unique sites:
Li1 0.0000 0.0000 0.0000 x4
Cu1 0.2500 0.2500 0.7500 x4
Mo1 0.0000 0.0000 0.5000 x4
Pd1 0.2500 0.2500 0.2500 x4

=====

[4]
First-principles (PBE) data for crystalline NbSi2Mo2 at its relaxed geometry, as listed in OQMD.

Output
size of the total moment: 0.11 μB/cell
calculated volume: 16.00 A^3/atom
calculated total energy: -8.559 eV per atom
energy relative to the lowest polymorph listed for this composition: 0.0 meV/atom

a = 3.7973 Å, b = 3.7973 Å, c = 11.0964 Å
α = 90.00°, β = 90.00°, γ = 90.00°
Space group I4/mmm (No. 139)
Unique sites:
Nb1 0.0000 0.0000 0.0000 x2
Si1 0.0000 0.0000 0.3987 x4
Mo1 0.0000 0.5000 0.2500 x4

=====

[5]
First-principles (PBE) data for crystalline PmYSe2I2 at its relaxed geometry, as listed in OQMD.

Output
size of the total moment: 0.01 μB/cell
calculated volume: 31.49 A^3/atom
calculated total energy: -5.090 eV per atom

a = 4.9812 Å, b = 4.9812 Å, c = 7.6156 Å
α = 90.00°, β = 90.00°, γ = 90.00°
Space group P4mm (No. 99)
Unique sites:
Pm1 0.0000 0.0000 0.0000 x1
Y1 0.5000 0.5000 0.3893 x1
Se1 0.0000 0.5000 0.2027 x2
I1 0.0000 0.0000 0.5823 x1
I2 0.5000 0.5000 0.8070 x1

=====

[6]
First-principles (PBE) data for crystalline Er3Al3CoGe2 at its relaxed geometry, as listed in OQMD.

Output
size of the total moment: 0.00 μB/cell
calculated volume: 18.86 A^3/atom
calculated total energy: -5.326 eV per atom

a = 6.8815 Å, b = 6.8815 Å, c = 4.1392 Å
α = 90.00°, β = 90.00°, γ = 120.00°
Space group P-62m (No. 189)
Unique sites:
Er1 0.0000 0.4024 0.0000 x3
Al1 0.0000 0.7727 0.5000 x3
Co1 0.0000 0.0000 0.0000 x1
Ge1 0.3333 0.6667 0.5000 x2

=====

- Look up the calculated total energy of the first one.
  -5.681 eV per atom